1.
The following is a PBE calculation of Y3CuNi2 after structural relaxation, from the Alexandria database.

```
Y3CuNi2
1.0
-1.592 0.158 3.555
-4.743 -10.181 -1.671
9.345 -5.077 4.411
Y Cu Ni
12 4 8
direct
0.250 0.373 0.055 Y
0.750 0.627 0.945 Y
0.750 0.873 0.445 Y
0.250 0.127 0.555 Y
0.250 0.679 0.205 Y
0.750 0.321 0.795 Y
0.750 0.179 0.295 Y
0.250 0.821 0.705 Y
0.250 0.429 0.377 Y
0.750 0.571 0.623 Y
0.750 0.929 0.123 Y
0.250 0.071 0.877 Y
0.250 0.121 0.124 Cu
0.750 0.879 0.876 Cu
0.750 0.621 0.376 Cu
0.250 0.379 0.624 Cu
0.250 0.692 0.486 Ni
0.750 0.308 0.514 Ni
0.750 0.192 0.014 Ni
0.250 0.808 0.986 Ni
0.250 0.999 0.309 Ni
0.750 0.001 0.691 Ni
0.750 0.499 0.191 Ni
0.250 0.501 0.809 Ni
```

Magnetic moment in μB per cell: 0.00
Formation energy from the elements in eV per atom: -0.32
E in eV for the cell shown: -147.94
DOS(E_F) in states/eV per cell: 19.48

---

2.
The following is a PBE calculation of LiAcHo2 after structural relaxation, from the Alexandria database.

```
LiAcHo2
1.0
-0.338 0.131 3.764
0.519 -3.742 0.177
8.603 1.229 0.730
Ac Ho Li
1 2 1
direct
0.500 0.500 0.500 Ac
0.000 0.000 0.795 Ho
0.000 0.000 0.205 Ho
0.500 0.500 0.000 Li
```

Magnetic moment in μB per cell: 0.00
Formation energy from the elements in eV per atom: 0.11
E in eV for the cell shown: -14.73
DOS(E_F) in states/eV per cell: 5.77

---

3.
The following is a PBE calculation of HoZrH after structural relaxation, from the Alexandria database.

```
HoZrH
1.0
4.701 0.952 0.774
2.861 8.969 2.079
3.044 4.267 6.753
H Ho Zr
4 4 4
direct
0.067 0.538 0.646 H
0.067 0.038 0.145 H
0.933 0.462 0.354 H
0.933 0.962 0.855 H
0.592 0.527 0.631 Ho
0.592 0.027 0.131 Ho
0.408 0.473 0.369 Ho
0.408 0.973 0.869 Ho
0.124 0.661 0.965 Zr
0.876 0.839 0.535 Zr
0.876 0.339 0.035 Zr
0.124 0.161 0.465 Zr
```

Magnetic moment in μB per cell: 0.00
E in eV for the cell shown: -68.53
DOS(E_F) in states/eV per cell: 6.57

---

4.
The following is a PBE calculation of AgBBr6 after structural relaxation, from the Alexandria database.

```
AgBBr6
1.0
6.005 -0.291 -1.140
2.799 7.601 -3.119
1.978 0.033 6.256
Ag B Br
1 1 6
direct
0.500 0.500 0.500 Ag
0.000 0.000 0.000 B
0.154 0.420 0.836 Br
0.802 0.063 0.828 Br
0.550 0.192 0.422 Br
0.198 0.937 0.172 Br
0.846 0.580 0.164 Br
0.450 0.808 0.578 Br
```

Energy relative to the elements, uncorrected in eV/atom: -0.07
Magnetic moment in μB per cell: 0.00
E in eV for the cell shown: -20.09

---

5.
The following is a PBE calculation of Dy6CoHg after structural relaxation, from the Alexandria database.

```
Dy6CoHg
1.0
6.771 0.010 0.010
3.379 5.866 0.013
3.377 1.949 6.250
Dy Co Hg
6 1 1
direct
0.042 0.412 0.761 Dy
0.785 0.043 0.761 Dy
0.588 0.215 0.239 Dy
0.215 0.957 0.239 Dy
0.958 0.588 0.239 Dy
0.412 0.785 0.761 Dy
0.000 0.000 0.000 Co
0.500 0.500 0.500 Hg
```

Magnetic moment in μB per cell: 0.00
Formation energy from the elements in eV per atom: -0.01
E in eV for the cell shown: -35.10
DOS(E_F) in states/eV per cell: 11.41

---

6.
The following is a PBE calculation of Th2CdBi after structural relaxation, from the Alexandria database.

```
Th2CdBi
1.0
-2.046 3.553 0.231
-2.879 -1.808 2.305
3.592 1.690 5.812
Bi Th Cd
1 2 1
direct
0.500 0.500 0.000 Bi
0.000 0.000 0.748 Th
0.000 0.000 0.252 Th
0.500 0.500 0.500 Cd
```

Magnetic moment in μB per cell: 0.00
Formation energy from the elements in eV per atom: -0.29
E in eV for the cell shown: -20.81
DOS(E_F) in states/eV per cell: 3.33

---

7.
The following is a PBE calculation of CaCu3Ni after structural relaxation, from the Alexandria database.

```
CaCu3Ni
1.0
4.853 0.000 0.000
0.000 5.012 -2.097
0.000 -0.247 6.448
Ca Cu Ni
2 6 2
direct
0.250 0.399 0.797 Ca
0.750 0.601 0.203 Ca
0.250 0.816 0.632 Cu
0.750 0.184 0.368 Cu
0.250 0.378 0.304 Cu
0.750 0.622 0.696 Cu
0.250 0.925 0.304 Cu
0.750 0.075 0.696 Cu
0.000 0.000 0.000 Ni
0.500 0.000 0.000 Ni
```

Magnetic moment in μB per cell: 0.00
Formation energy from the elements in eV per atom: -0.07
E in eV for the cell shown: -40.84
DOS(E_F) in states/eV per cell: 4.45

---

8.
The following is a PBE calculation of La5SiBr5 after structural relaxation, from the Alexandria database.

```
La5SiBr5
1.0
-3.658 -4.813 0.697
5.474 -1.015 -4.842
3.375 -1.404 8.016
La Si Br
5 1 5
direct
0.830 0.660 0.139 La
0.844 0.687 0.694 La
0.500 0.000 0.000 La
0.156 0.313 0.306 La
0.170 0.340 0.861 La
0.000 0.000 0.000 Si
0.662 0.325 0.347 Br
0.651 0.301 0.800 Br
0.000 0.000 0.500 Br
0.349 0.699 0.200 Br
0.338 0.675 0.653 Br
```

Energy relative to the elements, uncorrected in eV/atom: -1.40
Magnetic moment in μB per cell: 0.00
E in eV for the cell shown: -53.85
DOS(E_F) in states/eV per cell: 7.01

---

9.
The following is a PBE calculation of Ca2BeFeB after structural relaxation, from the Alexandria database.

```
Ca2BeFeB
1.0
5.338 0.000 0.000
0.000 5.338 0.000
0.000 0.000 3.499
Be Ca B Fe
1 2 1 1
direct
0.000 0.000 0.000 Be
0.000 0.500 0.000 Ca
0.500 0.000 0.000 Ca
0.000 0.000 0.500 B
0.500 0.500 0.500 Fe
```

Magnetic moment in μB per cell: 2.90
Formation energy from the elements in eV per atom: 0.60
E in eV for the cell shown: -19.86
DOS(E_F) in states/eV per cell: 2.53

---

10.
The following is a PBE calculation of Ba2LiMg6Ag after structural relaxation, from the Alexandria database.

```
Ba2LiMg6Ag
1.0
7.502 -0.003 0.007
-0.002 7.502 0.007
3.755 3.754 5.292
Ba Li Mg Ag
2 1 6 1
direct
0.250 0.750 0.500 Ba
0.750 0.250 0.500 Ba
0.500 0.500 0.000 Li
0.252 0.748 0.000 Mg
0.748 0.748 0.000 Mg
0.252 0.252 0.496 Mg
0.748 0.252 0.000 Mg
0.252 0.252 0.000 Mg
0.748 0.748 0.504 Mg
0.000 0.000 0.000 Ag
```

Magnetic moment in μB per cell: 0.00
Formation energy from the elements in eV per atom: -0.01
E in eV for the cell shown: -18.31
DOS(E_F) in states/eV per cell: 7.80

---

11.
The following is a PBE calculation of Mn2SnCl after structural relaxation, from the Alexandria database.

```
Mn2SnCl
1.0
0.000 3.433 3.433
3.433 0.000 3.433
3.433 3.433 0.000
Mn Sn Cl
2 1 1
direct
0.250 0.250 0.250 Mn
0.750 0.750 0.750 Mn
0.500 0.500 0.500 Sn
0.000 0.000 0.000 Cl
```

Energy relative to the elements, uncorrected in eV/atom: 0.38
Magnetic moment in μB per cell: 7.69
E in eV for the cell shown: -22.68
DOS(E_F) in states/eV per cell: 7.19

---

12.
The following is a PBE calculation of CrTcN2 after structural relaxation, from the Alexandria database.

```
CrTcN2
1.0
2.842 0.000 0.000
1.421 2.462 0.000
1.421 0.821 5.271
Cr Tc N
1 1 2
direct
0.669 0.669 0.992 Cr
0.504 0.504 0.489 Tc
0.075 0.075 0.775 N
0.252 0.252 0.244 N
```

Energy relative to the elements, uncorrected in eV/atom: 0.02
Magnetic moment in μB per cell: 0.01
E in eV for the cell shown: -36.55
DOS(E_F) in states/eV per cell: 4.37